{
  "formula": "Rb5CoO4",
  "functional": "PBE with a Hubbard U",
  "state": "relaxed",
  "lattice_angstrom": [[6.725, 0.000, 0.000], [0.000, 8.772, 0.000], [0.000, 0.000, 7.915]],
  "species": ["Rb", "Rb", "Rb", "Rb", "Rb", "Rb", "Rb", "Rb", "Rb", "Rb", "O", "O", "O", "O", "O", "O", "O", "O", "Co", "Co"],
  "fractional_positions": [[0.736, 0.808, 0.758], [0.143, 0.000, 0.500], [0.857, 0.500, 0.000], [0.736, 0.192, 0.242], [0.264, 0.308, 0.742], [0.736, 0.808, 0.242], [0.264, 0.692, 0.742], [0.264, 0.308, 0.258], [0.736, 0.192, 0.758], [0.264, 0.692, 0.258], [0.959, 0.318, 0.500], [0.367, 0.000, 0.799], [0.367, 0.000, 0.201], [0.959, 0.682, 0.500], [0.633, 0.500, 0.701], [0.041, 0.818, 0.000], [0.633, 0.500, 0.299], [0.041, 0.182, 0.000], [0.204, 0.000, 0.000], [0.796, 0.500, 0.500]],
  "final_energy_ev_per_atom": -4.03,
  "m_tot_mub_per_cell": 8.00,
  "rho_g_cm3": 3.91,
  "crystal_system": "orthorhombic"
}